# 1
6
Lattice="-0.338 -1.153 -4.272 0.507 -4.266 1.112 -5.704 -0.523 0.592" Properties=species:S:1:pos:R:3 comment="LaGa2PRu2 | Alexandria via LeMat-Bulk | PBE | relaxed" total_magnetization_mub_per_cell=0.002 final_energy_ev_per_fu=-38.1 formation_energy_mev_per_atom=-530 sg=P4/mmm pbc="T T T"
Ga -4.066 -3.090 -1.149
Ga -1.469 -2.852 -1.418
Ru 0.253 -2.133 0.556
Ru -0.169 -0.577 -2.136
P 0.000 0.000 0.000
La -2.852 -0.262 0.296

# 2
6
Lattice="3.803 0.000 1.100 2.186 6.436 -0.436 -0.362 -2.275 8.376" Properties=species:S:1:pos:R:3 comment="SrAcTl4 | Alexandria via LeMat-Bulk | PBE | relaxed" total_magnetization_mub_per_cell=0.001 final_energy_ev_per_fu=-16.7 formation_energy_mev_per_atom=-236 sg=C2/m pbc="T T T"
Ac 2.813 2.080 4.520
Tl 3.305 5.547 2.822
Tl 2.322 -1.387 6.219
Tl 3.934 1.183 7.770
Tl 1.693 2.978 1.271
Sr 0.000 0.000 0.000

# 3
5
Lattice="5.040 0.000 0.000 0.000 5.600 0.000 0.000 0.000 5.040" Properties=species:S:1:pos:R:3 comment="YTa2CdGa | Alexandria via LeMat-Bulk | PBE | relaxed" total_magnetization_mub_per_cell=0.000 final_energy_ev_per_fu=-23.9 formation_energy_mev_per_atom=2044 sg=P4/mmm pbc="T T T"
Ta 2.520 0.000 0.000
Ta 0.000 0.000 2.520
Y 0.000 0.000 0.000
Cd 0.000 2.800 0.000
Ga 2.520 2.800 2.520

# 4
5
Lattice="-5.044 0.321 -0.373 -0.187 -5.685 -2.364 -0.467 -1.924 4.665" Properties=species:S:1:pos:R:3 comment="BaNaYRu2 | Alexandria via LeMat-Bulk | PBE | relaxed" total_magnetization_mub_per_cell=1.542 final_energy_ev_per_fu=-22.0 formation_energy_mev_per_atom=1254 sg=P4/mmm pbc="T T T"
Ru -0.234 -0.962 2.332
Ru -2.522 0.160 -0.186
Ba -0.093 -2.843 -1.182
Y 0.000 0.000 0.000
Na -2.849 -3.644 0.964

# 5
8
Lattice="-0.778 -3.702 -5.536 3.729 -4.451 -1.608 -2.773 -5.348 -0.095" Properties=species:S:1:pos:R:3 comment="LiThCu2Se4 | Alexandria via LeMat-Bulk | PBE | relaxed" total_magnetization_mub_per_cell=0.000 final_energy_ev_per_fu=-38.3 sg=I222 pbc="T T T"
Se -1.485 -5.011 -2.812
Se -1.173 -8.881 -3.767
Se 1.998 -6.895 -2.042
Se 1.016 -6.214 -5.857
Li 0.089 -6.750 -3.619
Th 0.000 0.000 0.000
Cu 0.152 -3.755 -1.571
Cu 0.026 -9.746 -5.668

# 6
6
Lattice="-4.707 -0.389 -0.704 -2.595 -2.906 2.762 -3.050 1.829 3.187" Properties=species:S:1:pos:R:3 comment="GaNi4Au | Alexandria via LeMat-Bulk | PBE | relaxed" total_magnetization_mub_per_cell=1.404 final_energy_ev_per_fu=-29.3 formation_energy_mev_per_atom=24 sg=F-43m pbc="T T T"
Ni -4.115 -0.722 3.632
Ni -5.173 0.539 1.896
Ni -4.945 -1.833 1.683
Ni -6.473 -0.917 3.279
Ga 0.000 0.000 0.000
Au -2.588 -0.367 1.311

# 7
4
Lattice="5.832 0.000 0.000 2.916 5.050 0.000 2.916 1.683 4.761" Properties=species:S:1:pos:R:3 comment="SrAcMgTl | Alexandria via LeMat-Bulk | PBE | relaxed" total_magnetization_mub_per_cell=0.000 final_energy_ev_per_fu=-10.7 formation_energy_mev_per_atom=-247 sg=F-43m pbc="T T T"
Mg 5.832 3.367 2.381
Ac 8.747 5.050 3.571
Tl 0.000 0.000 0.000
Sr 2.916 1.683 1.190

# 8
4
Lattice="-1.030 -2.413 3.698 3.304 -2.941 -0.998 4.155 3.500 3.441" Properties=species:S:1:pos:R:3 comment="NdThBiTe | Alexandria via LeMat-Bulk | PBE | relaxed" total_magnetization_mub_per_cell=0.000 final_energy_ev_per_fu=-23.1 sg=P4/mmm pbc="T T T"
Bi 3.215 -0.927 3.071
Th 1.137 -2.677 1.350
Te 0.000 0.000 0.000
Nd 2.077 1.750 1.721

# 9
3
Lattice="-1.961 -1.781 3.510 -0.638 -1.734 -3.991 2.443 -1.863 0.419" Properties=species:S:1:pos:R:3 comment="ZrAlIr | Alexandria via LeMat-Bulk | PBE | relaxed" total_magnetization_mub_per_cell=0.000 final_energy_ev_per_fu=-23.5 formation_energy_mev_per_atom=-767 sg=P-6m2 pbc="T T T"
Zr 0.109 -3.007 1.290
Al 0.406 -0.310 0.070
Ir -0.671 -2.061 -1.420

# 10
28
Lattice="-5.979 -6.521 4.847 2.959 -3.991 8.779 -4.549 2.743 8.576" Properties=species:S:1:pos:R:3 comment="SrMg10Al3 | Alexandria via LeMat-Bulk | PBE | relaxed" total_magnetization_mub_per_cell=0.000 final_energy_ev_per_fu=-27.6 formation_energy_mev_per_atom=89 sg=Fm-3m pbc="T T T"
Al -3.422 -7.021 12.296
Al -4.146 -0.748 9.906
Al -4.823 -5.132 8.141
Al -2.746 -2.637 14.061
Al -0.592 -3.935 10.002
Al -6.976 -3.834 12.200
Mg -2.603 -5.968 9.756
Mg -3.908 -4.262 3.168
Mg -4.966 -1.801 12.446
Mg 1.025 -1.382 3.041
Mg -2.943 -3.021 8.633
Mg -1.949 0.410 8.646
Mg -5.942 -2.974 9.665
Mg -5.044 -0.466 7.284
Mg -1.627 -4.795 12.537
Mg -5.484 -3.312 6.138
Mg 1.934 -2.609 5.739
Mg -5.602 -5.921 10.788
Mg -4.626 -4.748 13.569
Mg -2.071 -2.259 1.679
Mg -2.974 1.793 5.606
Mg -1.967 -1.849 11.414
Mg -0.136 -4.867 7.417
Mg -2.883 -5.645 6.209
Mg 0.359 -1.659 8.709
Mg -1.576 0.950 2.970
Sr -5.677 -5.827 16.652
Sr -1.892 -1.942 5.551

# 11
18
Lattice="-4.193 -2.434 -3.116 4.139 -4.451 -2.092 -1.523 -3.760 4.986" Properties=species:S:1:pos:R:3 comment="LiEr2PdO5 | Alexandria via LeMat-Bulk | PBE | relaxed" total_magnetization_mub_per_cell=2.079 final_energy_ev_per_fu=-61.2 sg=P4/mbm pbc="T T T"
Er -2.003 -5.781 1.882
Er 0.426 -4.864 -2.103
Er -1.878 -3.217 -0.290
Er 0.301 -7.429 0.068
O -0.788 -5.323 -0.111
O -3.494 -4.836 0.596
O -1.485 -3.670 2.089
O -1.757 -7.883 0.639
O 1.917 -5.809 -0.818
O -2.096 -1.217 -1.558
O -0.091 -6.975 -2.311
O 0.180 -2.762 -0.861
O 0.252 -6.717 2.132
O -1.828 -3.929 -2.354
Li 0.000 0.000 0.000
Li 1.308 -4.105 1.447
Pd 2.070 -2.226 -1.046
Pd -0.762 -1.880 2.493

# 12
16
Lattice="-2.771 -3.916 -2.041 2.698 -1.432 5.742 -13.074 5.352 7.478" Properties=species:S:1:pos:R:3 comment="Sm3Dy3In2 | Alexandria via LeMat-Bulk | PBE | relaxed" total_magnetization_mub_per_cell=0.000 final_energy_ev_per_fu=-34.7 formation_energy_mev_per_atom=-158 sg=Cmcm pbc="T T T"
Dy -2.062 -1.777 6.208
Dy -11.084 1.781 4.971
Dy -11.694 2.740 10.616
Dy -1.452 -2.736 0.562
Dy -6.032 0.422 7.378
Dy -7.114 -0.418 3.801
Sm -11.600 4.525 7.065
Sm -5.342 -2.967 6.285
Sm -4.026 -2.241 3.107
Sm -1.546 -4.521 4.114
Sm -9.120 2.245 8.072
Sm -7.804 2.971 4.894
In -1.201 -0.827 3.216
In -4.122 0.369 4.887
In -11.945 0.830 7.963
In -9.024 -0.365 6.292

# 13
4
Lattice="4.411 -0.002 -0.005 -2.206 3.820 0.005 -2.201 -1.275 7.339" Properties=species:S:1:pos:R:3 comment="Nd2BiAs | Alexandria via LeMat-Bulk | PBE | relaxed" total_magnetization_mub_per_cell=0.000 final_energy_ev_per_fu=-22.9 formation_energy_mev_per_atom=-1210 sg=R-3m pbc="T T T"
Nd 0.001 2.545 1.675
Nd 0.003 -0.002 5.664
As 4.411 -0.002 -0.005
Bi -2.203 1.273 3.672

# 14
12
Lattice="-3.819 1.935 1.311 -0.720 -4.436 4.454 5.686 5.054 1.458" Properties=species:S:1:pos:R:3 comment="Hf6Fe5Re | Alexandria via LeMat-Bulk | PBE | relaxed" total_magnetization_mub_per_cell=0.000 final_energy_ev_per_fu=-118.4 formation_energy_mev_per_atom=-326 sg=Immm pbc="T T T"
Hf -2.092 -0.159 1.786
Hf 0.611 -2.040 4.792
Hf 0.968 0.161 2.582
Hf 0.179 2.391 4.641
Hf -2.447 -2.342 3.979
Hf 0.536 4.592 2.431
Fe -0.360 -2.218 2.227
Fe 2.273 2.531 2.888
Fe -1.126 0.022 4.335
Fe 1.911 0.310 5.111
Fe -0.764 2.243 2.111
Re 0.000 0.000 0.000

# 15
5
Lattice="-4.338 0.728 1.977 0.011 -5.275 1.966 2.107 1.519 4.063" Properties=species:S:1:pos:R:3 comment="SrMnAl2Os | Alexandria via LeMat-Bulk | PBE | relaxed" total_magnetization_mub_per_cell=4.648 final_energy_ev_per_fu=-26.8 formation_energy_mev_per_atom=563 sg=P4/mmm pbc="T T T"
Mn -1.110 -1.514 4.003
Al 1.053 0.759 2.032
Al -2.169 0.364 0.989
Os 0.000 0.000 0.000
Sr 0.006 -2.637 0.983

# 16
5
Lattice="-3.353 -0.931 -1.167 -0.945 -0.896 3.431 -1.216 3.615 0.609" Properties=species:S:1:pos:R:3 comment="VNi2HIr | Alexandria via LeMat-Bulk | PBE | relaxed" total_magnetization_mub_per_cell=1.042 final_energy_ev_per_fu=-33.6 sg=P4/mmm pbc="T T T"
H 0.000 0.000 0.000
Ni -0.473 -0.448 1.716
Ni -1.677 -0.466 -0.583
Ir -0.608 1.807 0.305
V -2.757 0.894 1.437

# 17
4
Lattice="4.581 0.000 0.000 0.000 4.561 0.000 0.000 0.000 8.206" Properties=species:S:1:pos:R:3 comment="Ba2TlHg | Alexandria via LeMat-Bulk | PBE | relaxed" total_magnetization_mub_per_cell=0.000 final_energy_ev_per_fu=-7.7 formation_energy_mev_per_atom=-299 sg=Pmm2 pbc="T T T"
Hg 0.000 0.000 4.108
Ba 0.000 0.000 7.617
Ba 2.290 2.281 2.677
Tl 2.290 2.281 6.114

# 18
12
Lattice="5.174 0.000 -1.281 -0.598 6.582 -2.416 -0.636 -0.691 8.523" Properties=species:S:1:pos:R:3 comment="PrCd4Ni | Alexandria via LeMat-Bulk | PBE | relaxed" total_magnetization_mub_per_cell=0.000 final_energy_ev_per_fu=-14.9 formation_energy_mev_per_atom=-121 sg=C2/m pbc="T T T"
Pr 0.686 1.075 2.760
Pr 3.253 4.816 2.067
Cd -0.117 1.288 -0.473
Cd -0.481 5.294 -1.943
Cd 1.121 3.806 4.544
Cd 2.495 5.648 -1.025
Cd 1.445 0.243 5.852
Cd 0.220 4.117 0.914
Cd 2.819 2.085 0.283
Cd 3.719 1.774 3.912
Ni 2.822 2.598 6.380
Ni 1.118 3.293 -1.553

# 19
14
Lattice="7.640 -0.635 3.812 -4.566 7.186 0.906 0.403 -0.635 8.529" Properties=species:S:1:pos:R:3 comment="K2AuSe4 | Alexandria via LeMat-Bulk | PBE | relaxed" total_magnetization_mub_per_cell=0.000 final_energy_ev_per_fu=-22.9 sg=I-42d pbc="T T T"
Au 2.780 1.320 4.264
Au 0.000 0.000 0.000
K -1.286 3.417 1.983
K 4.488 0.025 8.905
K 3.521 4.455 9.357
K 0.233 3.936 6.247
Se 0.998 5.596 3.466
Se -1.238 6.205 4.077
Se -2.312 5.077 8.341
Se 3.087 2.276 6.669
Se 6.645 -0.507 6.217
Se 4.930 2.159 11.542
Se 0.178 1.192 4.204
Se 1.625 1.666 8.469

# 20
4
Lattice="8.717 0.004 0.002 8.273 2.749 0.002 8.273 1.341 2.401" Properties=species:S:1:pos:R:3 comment="LiAl2Ni | Alexandria via LeMat-Bulk | PBE | relaxed" total_magnetization_mub_per_cell=0.000 final_energy_ev_per_fu=-15.9 formation_energy_mev_per_atom=-189 sg=R-3m pbc="T T T"
Al 0.230 0.037 0.022
Al 12.401 2.010 1.181
Ni 18.947 3.070 1.804
Li 6.316 1.023 0.601

# 21
4
Lattice="4.678 0.000 0.000 2.339 4.051 0.000 2.339 1.350 3.818" Properties=species:S:1:pos:R:3 comment="HoPdPt2 | Alexandria via LeMat-Bulk | PBE | relaxed" total_magnetization_mub_per_cell=0.000 final_energy_ev_per_fu=-24.8 formation_energy_mev_per_atom=-740 sg=Fm-3m pbc="T T T"
Pd 0.000 0.000 0.000
Pt 2.339 1.350 0.955
Pt 7.017 4.051 2.864
Ho 4.678 2.701 1.909

# 22
4
Lattice="3.586 0.000 0.000 0.000 3.586 0.000 0.000 0.000 7.416" Properties=species:S:1:pos:R:3 comment="MgTe2Mo | Alexandria via LeMat-Bulk | PBE | relaxed" total_magnetization_mub_per_cell=0.000 final_energy_ev_per_fu=-19.0 sg=P4mm pbc="T T T"
Mo 1.793 1.793 5.434
Mg 0.000 0.000 3.850
Te 0.000 0.000 6.717
Te 1.793 1.793 2.540

# 23
8
Lattice="4.362 0.000 0.000 0.000 7.516 -0.138 0.000 2.654 7.101" Properties=species:S:1:pos:R:3 comment="Ba2CaPbS4 | Alexandria via LeMat-Bulk | PBE | relaxed" total_magnetization_mub_per_cell=0.000 final_energy_ev_per_fu=-39.5 sg=P2/m pbc="T T T"
Ba 2.181 1.327 3.550
Ba 0.000 2.654 7.101
S 2.181 6.170 1.776
S 0.000 7.486 5.209
S 2.181 4.000 5.186
S 4.362 2.684 1.754
Ca 0.000 5.085 3.481
Pb 2.181 3.758 -0.069

# 24
3
Lattice="4.261 0.000 0.000 0.000 4.261 0.000 0.000 0.000 3.270" Properties=species:S:1:pos:R:3 comment="IrSe2 | Alexandria via LeMat-Bulk | PBE | relaxed" total_magnetization_mub_per_cell=0.000 final_energy_ev_per_fu=-14.6 sg=P4/mmm pbc="T T T"
Se 0.000 2.131 1.635
Se 2.131 0.000 1.635
Ir 0.000 0.000 0.000

# 25
4
Lattice="4.930 0.000 0.000 0.000 4.930 0.000 0.000 0.000 3.301" Properties=species:S:1:pos:R:3 comment="TaTeSe2 | Alexandria via LeMat-Bulk | PBE | relaxed" total_magnetization_mub_per_cell=0.000 final_energy_ev_per_fu=-20.3 sg=P4/mmm pbc="T T T"
Ta 2.465 0.000 1.650
Te 0.000 2.465 1.650
Se 2.465 2.465 0.000
Se 0.000 0.000 0.000

no.,density of states at the Fermi level (states/eV per cell)
1,4.7
2,4.5
3,5.5
4,8.4
5,2.4
6,6.2
7,2.1
8,2.8
9,2.3
10,7.8
11,9.1
12,16.6
13,0.8
14,3.8
15,3.6
16,3.6
17,2.9
18,9.4
19,11.7
20,1.6
21,3.6
22,2.3
23,0.0
24,2.7
25,2.2